(P)
AcSn2Hg6 | PBE | optimized geometry

abc: 3.6662 8.8327 8.8327
angles: 64.42 78.45 78.45
Sites, in units of the cell vectors:
Hg (0.3195, 0.0134, 0.3496)
Hg (0.6805, 0.9866, 0.6504)
Hg (0.5000, 0.3189, 0.6811)
Hg (0.6805, 0.6504, 0.9866)
Sn (0.1325, 0.3650, 0.3650)
Sn (0.8675, 0.6350, 0.6350)
Hg (0.3195, 0.3496, 0.0134)
Ac (0.0000, 0.0000, 0.0000)
Hg (0.5000, 0.6811, 0.3189)

* spin magnetization: 0.00 Bohr magnetons per cell
* mass density: 11.050 g cm⁻³
* volume: 27.8 Å³/atom
* DOS(E_F): 0.393 states/eV/atom



(Q)
AcSn2Hg6 | PBE | optimized geometry

abc: 6.4966 8.1237 6.2452
angles: 49.43 94.55 97.01
Sites, in units of the cell vectors:
Hg (0.8219, 0.5023, 0.1643)
Hg (0.8219, 0.1666, 0.8357)
Hg (0.1781, 0.8334, 0.1643)
Hg (0.6677, 0.6510, 0.5000)
Hg (0.1781, 0.4977, 0.8357)
Sn (0.5000, 0.8406, 0.8188)
Hg (0.3323, 0.3490, 0.5000)
Ac (0.0000, 0.0000, 0.5000)
Sn (0.5000, 0.1594, 0.1812)

* spin magnetization: 0.00 Bohr magnetons per cell
* mass density: 11.146 g cm⁻³
* volume: 27.6 Å³/atom
* DOS(E_F): 0.389 states/eV/atom



If you had to name the least stable structure above, which would it be? It would be (P).